The following is a DFT calculation (PBE) of an optimized crystal structure of K2RhAu2.

Calculated values
ΔE_f: 0.704 eV/atom
excess energy over the best structure of this formula in the dataset: 0.627 eV/atom
V: 131.4 Å³/f.u.
magnetization: 1.210 μB/f.u.

a b c (Å): 4.2498 4.2498 14.5476
angles (deg): 90.00 90.00 90.00
With the nearest neighbours (Å) after each atom.
Space group I4/mmm (No. 139)
Asymmetric unit:
K: 0.0000 0.5000 0.2500 (multiplicity 4)  4 K 3.01, 4 Au 3.15
Rh: 0.0000 0.0000 0.0000 (multiplicity 2)  8 Au 3.28
Au: 0.0000 0.0000 0.4100 (multiplicity 4)  1 Au 2.62

---

The following is a DFT calculation (PBE) of an optimized crystal structure of In3CuAu12.

Calculated values
ΔE_f: -0.072 eV/atom
V: 296.5 Å³/f.u.
magnetization: 0.000 μB/f.u.

a b c (Å): 4.2004 4.2004 16.8065
angles (deg): 90.00 90.00 90.00
With the nearest neighbours (Å) after each atom.
Space group P4/mmm (No. 123)
Asymmetric unit:
In: 0.0000 0.0000 0.0000 (multiplicity 1)  12 Au 2.97-3.01
In: 0.0000 0.0000 0.2569 (multiplicity 2)  12 Au 2.97-3.01
Cu: 0.0000 0.0000 0.5000 (multiplicity 1)  12 Au 2.86-2.97
Au: 0.0000 0.5000 0.1286 (multiplicity 4)  8 Au 2.97-3.01, 4 In 3.01
Au: 0.0000 0.5000 0.3846 (multiplicity 4)  2 Cu 2.86, 8 Au 2.86-3.00, 2 In 3.00
Au: 0.5000 0.5000 0.0000 (multiplicity 1)  4 In 2.97, 8 Au 3.01
Au: 0.5000 0.5000 0.2568 (multiplicity 2)  4 In 2.97, 8 Au 3.00-3.01
Au: 0.5000 0.5000 0.5000 (multiplicity 1)  8 Au 2.86, 4 Cu 2.97

---

The following is a DFT calculation (PBE) of an optimized crystal structure of Be2IrRu.

Calculated values
ΔE_f: 0.136 eV/atom
V: 47.4 Å³/f.u.
magnetization: 0.000 μB/f.u.

a b c (Å): 5.9529 5.9529 5.3558
angles (deg): 90.00 90.00 90.00
With the nearest neighbours (Å) after each atom.
Space group I-42d (No. 122)
Asymmetric unit:
Be: 0.2500 0.2503 0.3750 (multiplicity 8)  2 Ir 2.21, 2 Ru 2.21
Ir: 0.0000 0.0000 0.0000 (multiplicity 4)  4 Be 2.21
Ru: 0.0000 0.0000 0.5000 (multiplicity 4)  4 Be 2.21

---

The following is a DFT calculation (PBE) of an optimized crystal structure of ZrCuTcCl2.

Calculated values
formation energy from raw total energies: 2.47 eV/f.u.
V: 111.9 Å³/f.u.
magnetization: 0.249 μB/f.u.

a b c (Å): 4.6692 4.6692 5.1323
angles (deg): 90.00 90.00 90.00
With the nearest neighbours (Å) after each atom.
Space group P4/mmm (No. 123)
Asymmetric unit:
Zr: 0.0000 0.0000 0.0000 (multiplicity 1)  2 Tc 2.57
Cu: 0.5000 0.5000 0.0000 (multiplicity 1)  4 Zr 3.30, 8 Cl 3.47
Tc: 0.0000 0.0000 0.5000 (multiplicity 1)  4 Cl 2.33, 2 Zr 2.57
Cl: 0.0000 0.5000 0.5000 (multiplicity 2)  2 Tc 2.33

---

What did we get for energy? Answer: -25.2, -52.8, -100.2, -24.2 eV/cell, in the order shown.